Te2MoAs: optimized geometry, PBE.

ΔE_f (raw) = 509 meV/atom
Space group = No. 139

abc: 5.0479 5.0479 5.0479
angles: 110.42 110.42 107.59
With the nearest neighbours (Å) after each atom.
Fractional coordinates of all 4 atoms:
Te 0.0000 0.5000 0.5000  2 As 2.88, 2 Mo 2.88, 2 Te 2.98
Te 0.5000 0.0000 0.5000  2 As 2.88, 2 Mo 2.88, 2 Te 2.98
Mo 0.0000 0.0000 0.0000  4 Te 2.88, 2 As 2.98
As 0.5000 0.5000 0.0000  4 Te 2.88, 2 Mo 2.98



SbAsIr2: optimized geometry, PBE.

Offset from the most stable computed form = 345.2 meV/atom
ΔE_f (raw) = 187 meV/atom
Space group = No. 166

abc: 8.2352 8.2352 8.2352
angles: 21.97 21.97 21.97
With the nearest neighbours (Å) after each atom.
Fractional coordinates of all 4 atoms:
Sb 0.0000 0.0000 0.0000  6 Ir 2.80
As 0.5000 0.5000 0.5000  6 Ir 2.61
Ir 0.2449 0.2449 0.2449  3 As 2.61, 3 Sb 2.80
Ir 0.7551 0.7551 0.7551  3 As 2.61, 3 Sb 2.80



LaBe4Si: optimized geometry, PBE.

ΔE_f (raw) = 422 meV/atom
Space group = No. 216

abc: 4.9284 4.9284 4.9284
angles: 60.00 60.00 60.00
With the nearest neighbours (Å) after each atom.
Fractional coordinates of all 6 atoms:
La 0.0000 0.0000 0.0000  12 Be 2.89, 4 Si 3.02
Be 0.1186 0.6271 0.6271  6 Be 2.42-2.51
Be 0.6271 0.1186 0.6271  6 Be 2.42-2.51
Be 0.6271 0.6271 0.1186  6 Be 2.42-2.51
Be 0.6271 0.6271 0.6271  6 Be 2.42-2.51
Si 0.2500 0.2500 0.2500  12 Be 2.89, 4 La 3.02



KNa2CrCd: optimized geometry, PBE.

ΔH_f (0 K) = 5.130 eV per formula unit
Space group = No. 123

abc: 6.0612 6.0612 6.1148
angles: 90.00 90.00 90.00
With the nearest neighbours (Å) after each atom.
Fractional coordinates of all 5 atoms:
K 0.0000 0.0000 0.0000  4 Na 3.03, 2 Cd 3.06
Na 0.0000 0.5000 0.0000  2 K 3.03
Na 0.5000 0.0000 0.0000  2 K 3.03
Cr 0.5000 0.5000 0.5000  4 Cd 4.29, 8 Na 4.30
Cd 0.0000 0.0000 0.5000  2 K 3.06



Na3GeAs2: optimized geometry, PBE.

ΔH_f (0 K) = -1.722 eV per formula unit
Offset from the most stable computed form = 0.0 meV/atom
Space group = No. 62

abc: 11.2081 4.7009 11.7255
angles: 90.00 90.00 90.00
With the nearest neighbours (Å) after each atom.
Fractional coordinates of all 24 atoms:
Na 0.0632 0.2500 0.1067  5 As 3.09-3.39, 1 Ge 3.14, 1 Na 3.42
Na 0.1352 0.7500 0.5633  3 As 3.04-3.16, 3 Ge 3.15-3.31
Na 0.1716 0.2500 0.8190  4 As 3.01-3.09, 2 Ge 3.23
Na 0.3284 0.7500 0.3190  4 As 3.01-3.09, 2 Ge 3.23
Na 0.3648 0.2500 0.0633  3 As 3.04-3.16, 3 Ge 3.15-3.31
Na 0.4368 0.7500 0.6067  5 As 3.09-3.39, 1 Ge 3.14, 1 Na 3.42
Na 0.5632 0.2500 0.3933  5 As 3.09-3.39, 1 Ge 3.14, 1 Na 3.42
Na 0.6352 0.7500 0.9367  3 As 3.04-3.16, 3 Ge 3.15-3.31
Na 0.6716 0.2500 0.6810  4 As 3.01-3.09, 2 Ge 3.23
Na 0.8284 0.7500 0.1810  4 As 3.01-3.09, 2 Ge 3.23
Na 0.8648 0.2500 0.4367  3 As 3.04-3.16, 3 Ge 3.15-3.31
Na 0.9368 0.7500 0.8933  5 As 3.09-3.39, 1 Ge 3.14, 1 Na 3.42
Ge 0.1361 0.2500 0.3650  3 As 2.40-2.58
Ge 0.3639 0.7500 0.8650  3 As 2.40-2.58
Ge 0.6361 0.2500 0.1350  3 As 2.40-2.58
Ge 0.8639 0.7500 0.6350  3 As 2.40-2.58
As 0.0574 0.7500 0.3152  2 Ge 2.58
As 0.1935 0.7500 0.9894  1 Ge 2.40
As 0.3065 0.2500 0.4894  1 Ge 2.40
As 0.4426 0.2500 0.8152  2 Ge 2.58
As 0.5574 0.7500 0.1848  2 Ge 2.58
As 0.6935 0.7500 0.5106  1 Ge 2.40
As 0.8065 0.2500 0.0106  1 Ge 2.40
As 0.9426 0.2500 0.6848  2 Ge 2.58